[1]
Here is a relaxed structure of MgZrIr2 from OQMD via LeMat-Bulk. Energies are from PBE. Values from VASP.

Calculated values
The raw total energy comes out at -28.5 eV/cell.

Geometry as Quantum ESPRESSO input:
```
&SYSTEM
  ibrav = 0, nat = 4, ntyp = 3
/
ATOMIC_SPECIES
Zr 91.22 Zr.upf
Mg 24.30 Mg.upf
Ir 192.22 Ir.upf
CELL_PARAMETERS angstrom
0.000 3.233 3.233
3.233 0.000 3.233
3.233 3.233 0.000
ATOMIC_POSITIONS crystal
Zr 0.500 0.500 0.500
Mg 0.750 0.750 0.750
Ir 0.250 0.250 0.250
Ir 0.000 0.000 0.000
```

[2]
Here is a relaxed structure of PaSe from OQMD via LeMat-Bulk. Energies are from PBE. Values from VASP.

Calculated values
The offset from the most stable computed form is 156 meV per atom.

Geometry as Quantum ESPRESSO input:
```
&SYSTEM
  ibrav = 0, nat = 2, ntyp = 2
/
ATOMIC_SPECIES
Se 78.96 Se.upf
Pa 231.04 Pa.upf
CELL_PARAMETERS angstrom
3.618 0.000 0.000
-1.809 3.134 0.000
0.000 0.000 4.184
ATOMIC_POSITIONS crystal
Se 0.333 0.667 0.250
Pa 0.667 0.333 0.750
```

[3]
Here is a relaxed structure of ScCo3Sb2 from OQMD via LeMat-Bulk. Energies are from PBE. Values from VASP.

Calculated values
The raw total energy comes out at -75.0 eV/cell.

Geometry as Quantum ESPRESSO input:
```
&SYSTEM
  ibrav = 0, nat = 12, ntyp = 3
/
ATOMIC_SPECIES
Co 58.93 Co.upf
Sb 121.76 Sb.upf
Sc 44.96 Sc.upf
CELL_PARAMETERS angstrom
-3.764 1.830 -0.569
-2.564 -3.027 7.220
1.964 4.895 2.750
ATOMIC_POSITIONS crystal
Co 0.500 0.642 0.263
Sb 0.000 0.121 0.479
Sc 0.000 0.621 0.009
Co 0.000 0.358 0.763
Co 0.500 0.879 0.494
Sc 0.500 0.379 0.509
Sb 0.500 0.879 0.979
Sb 0.500 0.365 0.010
Co 0.000 0.121 0.994
Co 0.000 0.891 0.745
Co 0.500 0.109 0.245
Sb 0.000 0.635 0.510
```

[4]
Here is a relaxed structure of Cu3Ag from OQMD via LeMat-Bulk. Energies are from PBE. Values from VASP.

Calculated values
The formation energy is 0.077 eV per atom.

Geometry as Quantum ESPRESSO input:
```
&SYSTEM
  ibrav = 0, nat = 8, ntyp = 2
/
ATOMIC_SPECIES
Cu 63.55 Cu.upf
Ag 107.87 Ag.upf
CELL_PARAMETERS angstrom
4.539 0.000 0.000
0.000 2.715 0.000
-2.135 0.000 8.682
ATOMIC_POSITIONS crystal
Cu 0.142 0.000 0.350
Cu 0.858 0.000 0.650
Ag 0.659 0.500 0.378
Cu 0.119 0.500 0.884
Cu 0.379 0.000 0.115
Cu 0.881 0.500 0.116
Ag 0.341 0.500 0.622
Cu 0.621 0.000 0.885
```

[5]
Here is a relaxed structure of HoCuSi2Tc from OQMD via LeMat-Bulk. Energies are from PBE. Values from VASP.

Calculated values
The raw total energy comes out at -32.3 eV/cell.

Geometry as Quantum ESPRESSO input:
```
&SYSTEM
  ibrav = 0, nat = 5, ntyp = 4
/
ATOMIC_SPECIES
Si 28.09 Si.upf
Cu 63.55 Cu.upf
Ho 164.93 Ho.upf
Tc 98.00 Tc.upf
CELL_PARAMETERS angstrom
-1.022 -0.101 5.743
-1.033 4.859 3.060
-1.734 -2.653 -4.898
ATOMIC_POSITIONS crystal
Si 0.132 0.632 0.500
Si 0.368 0.868 0.500
Cu 0.000 0.000 0.000
Ho 0.750 0.250 0.500
Tc 0.500 0.500 0.000
```

[6]
Here is a relaxed structure of KLi2Hg2 from OQMD via LeMat-Bulk. Energies are from PBE. Values from VASP.

Calculated values
The raw total energy comes out at -6.6 eV/cell.

Geometry as Quantum ESPRESSO input:
```
&SYSTEM
  ibrav = 0, nat = 5, ntyp = 3
/
ATOMIC_SPECIES
Li 6.94 Li.upf
K 39.10 K.upf
Hg 200.59 Hg.upf
CELL_PARAMETERS angstrom
4.260 -4.519 3.349
-2.023 -6.004 3.106
-0.635 3.667 -5.995
ATOMIC_POSITIONS crystal
Li 0.250 0.750 0.500
Li 0.750 0.250 0.500
K 0.000 0.000 0.000
Hg 0.621 0.621 0.000
Hg 0.379 0.379 0.000
```

[7]
Here is a relaxed structure of LuBeNi from OQMD via LeMat-Bulk. Energies are from PBE. Values from VASP.

Calculated values
The offset from the most stable computed form is 0 meV per atom.

Geometry as Quantum ESPRESSO input:
```
&SYSTEM
  ibrav = 0, nat = 3, ntyp = 3
/
ATOMIC_SPECIES
Ni 58.69 Ni.upf
Lu 174.97 Lu.upf
Be 9.01 Be.upf
CELL_PARAMETERS angstrom
0.000 2.960 2.960
2.960 0.000 2.960
2.960 2.960 0.000
ATOMIC_POSITIONS crystal
Ni 0.000 0.000 0.000
Lu 0.750 0.750 0.750
Be 0.250 0.250 0.250
```

[8]
Here is a relaxed structure of ZrTcNO from OQMD via LeMat-Bulk. Energies are from PBE. Values from VASP.

Calculated values
The offset from the most stable computed form is 393 meV per atom.

Geometry as Quantum ESPRESSO input:
```
&SYSTEM
  ibrav = 0, nat = 8, ntyp = 4
/
ATOMIC_SPECIES
N 14.01 N.upf
Zr 91.22 Zr.upf
O 16.00 O.upf
Tc 98.00 Tc.upf
CELL_PARAMETERS angstrom
-0.562 2.180 2.986
2.433 -2.056 1.959
5.198 4.177 -2.071
ATOMIC_POSITIONS crystal
N 0.500 0.000 0.642
Zr 0.500 0.000 0.163
O 0.500 0.500 0.000
Zr 0.000 0.500 0.837
Tc 0.500 0.500 0.500
N 0.000 0.500 0.358
Tc 0.000 0.000 0.500
O 0.000 0.000 0.000
```

[9]
Here is a relaxed structure of SmUTc from OQMD via LeMat-Bulk. Energies are from PBE. Values from VASP.

Calculated values
The offset from the most stable computed form is 466 meV per atom. The formation energy is 0.939 eV per atom.

Geometry as Quantum ESPRESSO input:
```
&SYSTEM
  ibrav = 0, nat = 3, ntyp = 3
/
ATOMIC_SPECIES
Sm 150.36 Sm.upf
Tc 98.00 Tc.upf
U 238.03 U.upf
CELL_PARAMETERS angstrom
-3.892 -0.799 2.345
-0.847 2.292 3.912
-3.317 3.204 0.124
ATOMIC_POSITIONS crystal
Sm 0.500 0.500 0.500
Tc 0.000 0.000 0.000
U 0.250 0.250 0.250
```

[10]
Here is a relaxed structure of LuInPd from OQMD via LeMat-Bulk. Energies are from PBE. Values from VASP.

Calculated values
The raw total energy comes out at -44.4 eV/cell.

Geometry as Quantum ESPRESSO input:
```
&SYSTEM
  ibrav = 0, nat = 9, ntyp = 3
/
ATOMIC_SPECIES
Lu 174.97 Lu.upf
Pd 106.42 Pd.upf
In 114.82 In.upf
CELL_PARAMETERS angstrom
-1.779 -2.760 -6.655
-1.820 -3.711 6.164
-3.468 1.919 0.131
ATOMIC_POSITIONS crystal
Lu 0.000 0.589 0.500
Pd 0.333 0.667 0.000
Pd 0.667 0.333 0.000
Lu 0.589 0.000 0.500
Pd 0.000 0.000 0.500
Lu 0.411 0.411 0.500
In 0.000 0.257 0.000
In 0.743 0.743 0.000
In 0.257 0.000 0.000
```

[11]
Here is a relaxed structure of InNi7 from OQMD via LeMat-Bulk. Energies are from PBE. Values from VASP.

Calculated values
The offset from the most stable computed form is 65 meV per atom.

Geometry as Quantum ESPRESSO input:
```
&SYSTEM
  ibrav = 0, nat = 16, ntyp = 2
/
ATOMIC_SPECIES
Ni 58.69 Ni.upf
In 114.82 In.upf
CELL_PARAMETERS angstrom
2.686 0.000 0.000
0.000 2.686 0.000
0.000 0.000 36.586
ATOMIC_POSITIONS crystal
Ni 0.000 0.500 0.269
Ni 0.500 0.000 0.479
Ni 0.500 0.000 0.647
Ni 0.500 0.000 0.226
Ni 0.000 0.500 0.437
In 0.500 0.000 0.829
Ni 0.000 0.500 0.774
Ni 0.000 0.500 0.605
In 0.000 0.500 0.171
Ni 0.500 0.000 0.311
Ni 0.000 0.500 0.521
Ni 0.500 0.000 0.563
Ni 0.500 0.000 0.395
Ni 0.000 0.500 0.353
Ni 0.500 0.000 0.731
Ni 0.000 0.500 0.689
```

[12]
Here is a relaxed structure of DyHfBe from OQMD via LeMat-Bulk. Energies are from PBE. Values from VASP.

Calculated values
The raw total energy comes out at -14.8 eV/cell.

Geometry as Quantum ESPRESSO input:
```
&SYSTEM
  ibrav = 0, nat = 3, ntyp = 3
/
ATOMIC_SPECIES
Be 9.01 Be.upf
Dy 162.50 Dy.upf
Hf 178.49 Hf.upf
CELL_PARAMETERS angstrom
0.000 3.295 3.295
3.295 0.000 3.295
3.295 3.295 0.000
ATOMIC_POSITIONS crystal
Be 0.250 0.250 0.250
Dy 0.750 0.750 0.750
Hf 0.000 0.000 0.000
```

[13]
Here is a relaxed structure of SmBe3Ni2 from OQMD via LeMat-Bulk. Energies are from PBE. Values from VASP.

Calculated values
The raw total energy comes out at -28.8 eV/cell.

Geometry as Quantum ESPRESSO input:
```
&SYSTEM
  ibrav = 0, nat = 6, ntyp = 3
/
ATOMIC_SPECIES
Be 9.01 Be.upf
Ni 58.69 Ni.upf
Sm 150.36 Sm.upf
CELL_PARAMETERS angstrom
-2.037 3.775 2.455
-2.844 -3.032 -2.674
-0.449 -2.105 2.864
ATOMIC_POSITIONS crystal
Be 0.500 0.000 0.500
Ni 0.333 0.667 0.000
Ni 0.667 0.333 0.000
Be 0.500 0.500 0.500
Sm 0.000 0.000 0.000
Be 0.000 0.500 0.500
```

[14]
Here is a relaxed structure of La2MgTcO6 from OQMD via LeMat-Bulk. Energies are from PBE. Values from VASP.

Calculated values
The offset from the most stable computed form is 2 meV per atom.

Geometry as Quantum ESPRESSO input:
```
&SYSTEM
  ibrav = 0, nat = 10, ntyp = 4
/
ATOMIC_SPECIES
O 16.00 O.upf
La 138.91 La.upf
Mg 24.30 Mg.upf
Tc 98.00 Tc.upf
CELL_PARAMETERS angstrom
-1.279 -4.595 2.792
0.762 -0.064 5.473
-4.443 0.056 3.287
ATOMIC_POSITIONS crystal
O 0.830 0.672 0.248
O 0.328 0.752 0.170
O 0.672 0.248 0.830
La 0.750 0.750 0.750
O 0.248 0.830 0.672
Mg 0.500 0.500 0.500
O 0.752 0.170 0.328
O 0.170 0.328 0.752
Tc 0.000 0.000 0.000
La 0.250 0.250 0.250
```

[15]
Here is a relaxed structure of YHfCoSi from OQMD via LeMat-Bulk. Energies are from PBE. Values from VASP.

Calculated values
The offset from the most stable computed form is 0 meV per atom.

Geometry as Quantum ESPRESSO input:
```
&SYSTEM
  ibrav = 0, nat = 4, ntyp = 4
/
ATOMIC_SPECIES
Hf 178.49 Hf.upf
Si 28.09 Si.upf
Co 58.93 Co.upf
Y 88.91 Y.upf
CELL_PARAMETERS angstrom
4.129 -2.037 0.095
0.664 -3.737 2.609
0.583 -4.117 -1.980
ATOMIC_POSITIONS crystal
Hf 0.250 0.250 0.250
Si 0.000 0.000 0.000
Co 0.750 0.750 0.750
Y 0.500 0.500 0.500
```

[16]
Here is a relaxed structure of Tb2SiPd from OQMD via LeMat-Bulk. Energies are from PBE. Values from VASP.

Calculated values
The raw total energy comes out at -46.4 eV/cell.

Geometry as Quantum ESPRESSO input:
```
&SYSTEM
  ibrav = 0, nat = 8, ntyp = 3
/
ATOMIC_SPECIES
Pd 106.42 Pd.upf
Si 28.09 Si.upf
Tb 158.93 Tb.upf
CELL_PARAMETERS angstrom
4.163 0.000 0.000
0.000 5.744 0.000
0.000 0.000 7.509
ATOMIC_POSITIONS crystal
Pd 0.000 0.384 0.540
Si 0.500 0.117 0.458
Tb 0.500 0.614 0.324
Tb 0.000 0.887 0.678
Tb 0.500 0.386 0.824
Pd 0.000 0.616 0.040
Tb 0.000 0.113 0.178
Si 0.500 0.883 0.958
```

[17]
Here is a relaxed structure of CsW3Br3Cl4 from OQMD via LeMat-Bulk. Energies are from PBE. Values from VASP.

Calculated values
The raw total energy comes out at -246.1 eV/cell.

Geometry as Quantum ESPRESSO input:
```
&SYSTEM
  ibrav = 0, nat = 44, ntyp = 4
/
ATOMIC_SPECIES
W 183.84 W.upf
Br 79.90 Br.upf
Cl 35.45 Cl.upf
Cs 132.91 Cs.upf
CELL_PARAMETERS angstrom
5.070 -8.782 0.000
5.070 8.782 0.000
-0.001 0.000 15.248
ATOMIC_POSITIONS crystal
W 0.342 0.521 0.323
W 0.658 0.179 0.823
W 0.514 0.186 0.683
Br 0.634 0.950 0.914
Cl 0.667 0.333 0.553
Br 0.050 0.683 0.914
W 0.186 0.514 0.183
Br 0.298 0.965 0.593
Cl 0.629 0.686 0.322
Cl 0.371 0.057 0.822
W 0.521 0.342 0.823
W 0.486 0.672 0.183
Cl 0.615 0.957 0.184
W 0.821 0.479 0.823
W 0.672 0.486 0.683
Cs 0.667 0.333 0.253
Cl 0.957 0.615 0.684
Br 0.035 0.333 0.593
Br 0.950 0.634 0.414
Br 0.702 0.667 0.093
Cs 0.333 0.667 0.753
Cl 0.333 0.667 0.053
Cs 0.000 0.000 0.480
W 0.479 0.821 0.323
W 0.328 0.814 0.183
W 0.179 0.658 0.323
Br 0.683 0.050 0.414
Br 0.317 0.366 0.914
Cl 0.043 0.659 0.184
Cl 0.659 0.043 0.684
Br 0.366 0.317 0.414
Br 0.333 0.035 0.093
W 0.814 0.328 0.683
Cl 0.341 0.385 0.184
Cs 0.000 0.000 0.980
Cl 0.385 0.341 0.684
Br 0.965 0.298 0.093
Cl 0.057 0.371 0.322
Cl 0.667 0.333 0.954
Cl 0.333 0.667 0.454
Cl 0.314 0.943 0.322
Br 0.667 0.702 0.593
Cl 0.943 0.314 0.822
Cl 0.686 0.629 0.822
```

[18]
Here is a relaxed structure of YMgCuPb from OQMD via LeMat-Bulk. Energies are from PBE. Values from VASP.

Calculated values
The offset from the most stable computed form is 38 meV per atom.

Geometry as Quantum ESPRESSO input:
```
&SYSTEM
  ibrav = 0, nat = 4, ntyp = 4
/
ATOMIC_SPECIES
Cu 63.55 Cu.upf
Mg 24.30 Mg.upf
Y 88.91 Y.upf
Pb 207.20 Pb.upf
CELL_PARAMETERS angstrom
-4.889 0.893 0.942
-2.745 2.732 -3.254
-3.566 -2.239 -2.804
ATOMIC_POSITIONS crystal
Cu 0.750 0.750 0.750
Mg 0.500 0.500 0.500
Y 0.250 0.250 0.250
Pb 0.000 0.000 0.000
```

[19]
Here is a relaxed structure of AcLuBi from OQMD via LeMat-Bulk. Energies are from PBE. Values from VASP.

Calculated values
The offset from the most stable computed form is 479 meV per atom.

Geometry as Quantum ESPRESSO input:
```
&SYSTEM
  ibrav = 0, nat = 3, ntyp = 3
/
ATOMIC_SPECIES
Bi 208.98 Bi.upf
Lu 174.97 Lu.upf
Ac 227.00 Ac.upf
CELL_PARAMETERS angstrom
0.000 3.970 3.970
3.970 0.000 3.970
3.970 3.970 0.000
ATOMIC_POSITIONS crystal
Bi 0.250 0.250 0.250
Lu 0.750 0.750 0.750
Ac 0.000 0.000 0.000
```

[20]
Here is a relaxed structure of LaCuOsW from OQMD via LeMat-Bulk. Energies are from PBE. Values from VASP.

Calculated values
The offset from the most stable computed form is 0 meV per atom. The formation energy is 0.499 eV per atom.

Geometry as Quantum ESPRESSO input:
```
&SYSTEM
  ibrav = 0, nat = 4, ntyp = 4
/
ATOMIC_SPECIES
W 183.84 W.upf
La 138.91 La.upf
Cu 63.55 Cu.upf
Os 190.23 Os.upf
CELL_PARAMETERS angstrom
0.000 3.274 3.274
3.274 0.000 3.274
3.274 3.274 0.000
ATOMIC_POSITIONS crystal
W 0.250 0.250 0.250
La 0.500 0.500 0.500
Cu 0.750 0.750 0.750
Os 0.000 0.000 0.000
```

[21]
Here is a relaxed structure of GaNiPdW from OQMD via LeMat-Bulk. Energies are from PBE. Values from VASP.

Calculated values
The raw total energy comes out at -26.4 eV/cell.

Geometry as Quantum ESPRESSO input:
```
&SYSTEM
  ibrav = 0, nat = 4, ntyp = 4
/
ATOMIC_SPECIES
Pd 106.42 Pd.upf
W 183.84 W.upf
Ga 69.72 Ga.upf
Ni 58.69 Ni.upf
CELL_PARAMETERS angstrom
-1.960 -3.302 1.992
-4.319 -0.157 0.187
-2.159 -2.948 -2.314
ATOMIC_POSITIONS crystal
Pd 0.250 0.250 0.250
W 0.500 0.500 0.500
Ga 0.000 0.000 0.000
Ni 0.750 0.750 0.750
```

[22]
Here is a relaxed structure of TlReBi from OQMD via LeMat-Bulk. Energies are from PBE. Values from VASP.

Calculated values
The offset from the most stable computed form is 0 meV per atom.

Geometry as Quantum ESPRESSO input:
```
&SYSTEM
  ibrav = 0, nat = 3, ntyp = 3
/
ATOMIC_SPECIES
Tl 204.38 Tl.upf
Bi 208.98 Bi.upf
Re 186.21 Re.upf
CELL_PARAMETERS angstrom
0.000 3.344 3.344
3.344 0.000 3.344
3.344 3.344 0.000
ATOMIC_POSITIONS crystal
Tl 0.750 0.750 0.750
Bi 0.250 0.250 0.250
Re 0.000 0.000 0.000
```

[23]
Here is a relaxed structure of Sn3Pt from OQMD via LeMat-Bulk. Energies are from PBE. Values from VASP.

Calculated values
The offset from the most stable computed form is 0 meV per atom.

Geometry as Quantum ESPRESSO input:
```
&SYSTEM
  ibrav = 0, nat = 8, ntyp = 2
/
ATOMIC_SPECIES
Pt 195.08 Pt.upf
Sn 118.71 Sn.upf
CELL_PARAMETERS angstrom
-2.808 5.620 0.760
-0.224 -5.611 -2.918
-4.609 -3.176 6.461
ATOMIC_POSITIONS crystal
Pt 0.738 0.262 0.750
Sn 0.065 0.935 0.750
Sn 0.641 0.359 0.441
Pt 0.262 0.738 0.250
Sn 0.935 0.065 0.250
Sn 0.641 0.359 0.059
Sn 0.359 0.641 0.559
Sn 0.359 0.641 0.941
```

[24]
Here is a relaxed structure of Er2LuP3 from OQMD via LeMat-Bulk. Energies are from PBE. Values from VASP.

Calculated values
The raw total energy comes out at -39.5 eV/cell.

Geometry as Quantum ESPRESSO input:
```
&SYSTEM
  ibrav = 0, nat = 6, ntyp = 3
/
ATOMIC_SPECIES
P 30.97 P.upf
Er 167.26 Er.upf
Lu 174.97 Lu.upf
CELL_PARAMETERS angstrom
3.951 0.000 0.000
-1.976 3.422 0.000
0.000 0.000 9.667
ATOMIC_POSITIONS crystal
P 0.667 0.333 0.664
Er 0.333 0.667 0.832
P 0.333 0.667 0.336
Er 0.667 0.333 0.168
Lu 0.000 0.000 0.500
P 0.000 0.000 0.000
```

[25]
Here is a relaxed structure of Tm4InPbC2 from OQMD via LeMat-Bulk. Energies are from PBE. Values from VASP.

Calculated values
The raw total energy comes out at -46.7 eV/cell.

Geometry as Quantum ESPRESSO input:
```
&SYSTEM
  ibrav = 0, nat = 8, ntyp = 4
/
ATOMIC_SPECIES
Pb 207.20 Pb.upf
Tm 168.93 Tm.upf
C 12.01 C.upf
In 114.82 In.upf
CELL_PARAMETERS angstrom
-0.533 3.433 -0.799
-0.284 -2.486 -2.539
-15.533 -1.635 3.337
ATOMIC_POSITIONS crystal
Pb 0.333 0.667 0.500
Tm 0.000 0.000 0.669
Tm 0.333 0.667 0.167
C 0.667 0.333 0.748
Tm 0.000 0.000 0.331
Tm 0.333 0.667 0.833
C 0.667 0.333 0.252
In 0.000 0.000 0.000
```